Density functional theory data (PBE) for an optimized crystal structure of Ac12RuRh5. Values from VASP.

## Properties
**Theoretical density**: 8268 kg/m3
**Total moment**: 0.0 μB/f.u.
**Formation enthalpy at 0 K**: -8.9 eV per formula unit

The structure in Quantum ESPRESSO input format:
```
&SYSTEM
  ibrav = 0, nat = 18, ntyp = 3
/
ATOMIC_SPECIES
Ac 227.00 Ac.upf
Ru 101.07 Ru.upf
Rh 102.91 Rh.upf
CELL_PARAMETERS angstrom
3.7652 -6.5307 0.0000
3.7652 6.5307 0.0000
-2.4684 0.0000 13.6388
ATOMIC_POSITIONS crystal
Ac 0.0374 0.3664 0.1158
Ac 0.1281 0.1281 0.3830
Ac 0.2055 0.5390 0.6176
Ac 0.2915 0.2915 0.8843
Ac 0.3664 0.0374 0.1158
Ac 0.4610 0.7945 0.3824
Ac 0.5390 0.2055 0.6176
Ac 0.6335 0.9626 0.8842
Ac 0.7085 0.7085 0.1157
Ac 0.7945 0.4610 0.3824
Ac 0.8719 0.8719 0.6170
Ac 0.9626 0.6335 0.8842
Ru 0.0000 0.0000 0.0000
Rh 0.1669 0.8331 0.5000
Rh 0.3333 0.6667 0.0000
Rh 0.5000 0.5000 0.5000
Rh 0.6667 0.3333 0.0000
Rh 0.8331 0.1669 0.5000
```

Density functional theory data (PBE) for an optimized crystal structure of NbTcTe2N. Values from VASP.

## Properties
**Theoretical density**: 6396 kg/m3
**Total moment**: 3.9 μB/f.u.
**Offset from the most stable computed form**: 187 meV per atom
**Raw formation energy**: 0.724 eV per atom

The structure in Quantum ESPRESSO input format:
```
&SYSTEM
  ibrav = 0, nat = 5, ntyp = 4
/
ATOMIC_SPECIES
Nb 92.91 Nb.upf
Tc 98.00 Tc.upf
Te 127.60 Te.upf
N 14.01 N.upf
CELL_PARAMETERS angstrom
5.5533 0.0000 0.0000
0.0000 5.5533 0.0000
0.0000 0.0000 3.8734
ATOMIC_POSITIONS crystal
Nb 0.0000 0.0000 0.0000
Tc 0.5000 0.5000 0.5000
Te 0.0000 0.5000 0.0000
Te 0.5000 0.0000 0.0000
N 0.0000 0.0000 0.5000
```

Density functional theory data (PBE) for an optimized crystal structure of TmNbCoRh. Values from VASP.

## Properties
**Theoretical density**: 10364 kg/m3
**Total moment**: 1.1 μB/f.u.
**Formation enthalpy at 0 K**: -1.1 eV per formula unit

The structure in Quantum ESPRESSO input format:
```
&SYSTEM
  ibrav = 0, nat = 4, ntyp = 4
/
ATOMIC_SPECIES
Tm 168.93 Tm.upf
Nb 92.91 Nb.upf
Co 58.93 Co.upf
Rh 102.91 Rh.upf
CELL_PARAMETERS angstrom
0.0000 3.2377 3.2377
3.2377 0.0000 3.2377
3.2377 3.2377 0.0000
ATOMIC_POSITIONS crystal
Tm 0.0000 0.0000 0.0000
Nb 0.5000 0.5000 0.5000
Co 0.2500 0.2500 0.2500
Rh 0.7500 0.7500 0.7500
```

Density functional theory data (PBE) for an optimized crystal structure of Cr2TeW. Values from VASP.

## Properties
**Theoretical density**: 11352 kg/m3
**Total moment**: 0.0 μB/f.u.
**Raw formation energy**: 0.437 eV per atom

The structure in Quantum ESPRESSO input format:
```
&SYSTEM
  ibrav = 0, nat = 4, ntyp = 3
/
ATOMIC_SPECIES
Cr 52.00 Cr.upf
Te 127.60 Te.upf
W 183.84 W.upf
CELL_PARAMETERS angstrom
3.1592 0.0000 0.0000
0.0000 3.1592 0.0000
0.0000 0.0000 6.0885
ATOMIC_POSITIONS crystal
Cr 0.0000 0.0000 0.2363
Cr 0.0000 0.0000 0.7637
Te 0.5000 0.5000 0.5000
W 0.5000 0.5000 0.0000
```

Density functional theory data (PBE) for an optimized crystal structure of AcMg2Ir2. Values from VASP.

## Properties
**Theoretical density**: 10034 kg/m3
**Total moment**: 0.0 μB/f.u.
**Formation enthalpy at 0 K**: -2.4 eV per formula unit

The structure in Quantum ESPRESSO input format:
```
&SYSTEM
  ibrav = 0, nat = 5, ntyp = 3
/
ATOMIC_SPECIES
Ac 227.00 Ac.upf
Mg 24.30 Mg.upf
Ir 192.22 Ir.upf
CELL_PARAMETERS angstrom
-2.1503 2.1503 5.9061
2.1503 -2.1503 5.9061
2.1503 2.1503 -5.9061
ATOMIC_POSITIONS crystal
Ac 0.0000 0.0000 0.0000
Mg 0.2500 0.7500 0.5000
Mg 0.7500 0.2500 0.5000
Ir 0.3933 0.3933 0.0000
Ir 0.6067 0.6067 0.0000
```

Density functional theory data (PBE) for an optimized crystal structure of BaMoHCl2. Values from VASP.

## Properties
**Energy**: -17.8 eV for the cell shown
**Theoretical density**: 1760 kg/m3
**Total moment**: 7.0 μB/f.u.

The structure in Quantum ESPRESSO input format:
```
&SYSTEM
  ibrav = 0, nat = 5, ntyp = 4
/
ATOMIC_SPECIES
Ba 137.33 Ba.upf
Mo 95.94 Mo.upf
H 1.01 H.upf
Cl 35.45 Cl.upf
CELL_PARAMETERS angstrom
5.9727 0.0000 0.0000
0.0000 5.9727 0.0000
0.0000 0.0000 8.0710
ATOMIC_POSITIONS crystal
Ba 0.0000 0.0000 0.0000
Mo 0.0000 0.0000 0.5000
H 0.5000 0.5000 0.5000
Cl 0.0000 0.5000 0.0000
Cl 0.5000 0.0000 0.0000
```

Density functional theory data (PBE) for an optimized crystal structure of MnCo3As. Values from VASP.

## Properties
**Theoretical density**: 6966 kg/m3
**Total moment**: 1.1 μB/f.u.
**Offset from the most stable computed form**: 0 meV per atom
**Formation enthalpy at 0 K**: 5.8 eV per formula unit

The structure in Quantum ESPRESSO input format:
```
&SYSTEM
  ibrav = 0, nat = 5, ntyp = 3
/
ATOMIC_SPECIES
Mn 54.94 Mn.upf
Co 58.93 Co.upf
As 74.92 As.upf
CELL_PARAMETERS angstrom
4.1813 0.0000 0.0000
0.0000 4.1813 0.0000
0.0000 0.0000 4.1813
ATOMIC_POSITIONS crystal
Mn 0.0000 0.0000 0.0000
Co 0.0000 0.0000 0.5000
Co 0.0000 0.5000 0.0000
Co 0.5000 0.0000 0.0000
As 0.5000 0.5000 0.5000
```

Density functional theory data (PBE) for an optimized crystal structure of BeReAg2. Values from VASP.

## Properties
**Theoretical density**: 11099 kg/m3
**Total moment**: 0.0 μB/f.u.
**Formation enthalpy at 0 K**: 3.3 eV per formula unit

The structure in Quantum ESPRESSO input format:
```
&SYSTEM
  ibrav = 0, nat = 4, ntyp = 3
/
ATOMIC_SPECIES
Be 9.01 Be.upf
Re 186.21 Re.upf
Ag 107.87 Ag.upf
CELL_PARAMETERS angstrom
4.7230 0.0000 0.0000
0.0000 4.7230 0.0000
0.0000 0.0000 2.7563
ATOMIC_POSITIONS crystal
Be 0.0000 0.0000 0.0000
Re 0.5000 0.5000 0.0000
Ag 0.0000 0.5000 0.5000
Ag 0.5000 0.0000 0.5000
```

Density functional theory data (PBE) for an optimized crystal structure of Tb3PrSc4. Values from VASP.

## Properties
**Theoretical density**: 5753 kg/m3
**Total moment**: 0.0 μB/f.u.
**Formation enthalpy at 0 K**: 0.4 eV per formula unit

The structure in Quantum ESPRESSO input format:
```
&SYSTEM
  ibrav = 0, nat = 16, ntyp = 3
/
ATOMIC_SPECIES
Tb 158.93 Tb.upf
Pr 140.91 Pr.upf
Sc 44.96 Sc.upf
CELL_PARAMETERS angstrom
10.8894 0.0000 0.0000
0.0000 7.0314 0.0000
0.0000 0.0000 6.0126
ATOMIC_POSITIONS crystal
Tb 0.0000 0.1362 0.0000
Tb 0.2499 0.1369 0.3490
Tb 0.2501 0.8631 0.8490
Tb 0.5000 0.8638 0.5000
Tb 0.7501 0.1369 0.3490
Tb 0.7499 0.8631 0.8490
Pr 0.0000 0.8652 0.5007
Pr 0.5000 0.1348 0.0007
Sc 0.0000 0.3866 0.5115
Sc 0.0000 0.6121 0.0105
Sc 0.2481 0.3862 0.8392
Sc 0.2519 0.6138 0.3392
Sc 0.5000 0.3879 0.5105
Sc 0.5000 0.6134 0.0115
Sc 0.7481 0.6138 0.3392
Sc 0.7519 0.3862 0.8392
```

Density functional theory data (PBE) for an optimized crystal structure of GdScTe. Values from VASP.

## Properties
**Theoretical density**: 6598 kg/m3
**Total moment**: 7.9 μB/f.u.
**Offset from the most stable computed form**: 212 meV per atom
**Raw formation energy**: -0.534 eV per atom

The structure in Quantum ESPRESSO input format:
```
&SYSTEM
  ibrav = 0, nat = 3, ntyp = 3
/
ATOMIC_SPECIES
Gd 157.25 Gd.upf
Sc 44.96 Sc.upf
Te 127.60 Te.upf
CELL_PARAMETERS angstrom
4.9600 0.0000 0.0000
-2.4800 4.2955 0.0000
0.0000 0.0000 3.8957
ATOMIC_POSITIONS crystal
Gd 0.0000 0.0000 0.0000
Sc 0.3333 0.6667 0.5000
Te 0.6667 0.3333 0.5000
```

Density functional theory data (PBE) for an optimized crystal structure of HfAlCo3. Values from VASP.

## Properties
**Theoretical density**: 7068 kg/m3
**Total moment**: 1.3 μB/f.u.
**Offset from the most stable computed form**: 871 meV per atom
**Formation enthalpy at 0 K**: 6.2 eV per formula unit

The structure in Quantum ESPRESSO input format:
```
&SYSTEM
  ibrav = 0, nat = 5, ntyp = 3
/
ATOMIC_SPECIES
Hf 178.49 Hf.upf
Al 26.98 Al.upf
Co 58.93 Co.upf
CELL_PARAMETERS angstrom
4.4783 0.0000 0.0000
0.0000 4.4783 0.0000
0.0000 0.0000 4.4783
ATOMIC_POSITIONS crystal
Hf 0.0000 0.0000 0.0000
Al 0.5000 0.5000 0.5000
Co 0.0000 0.0000 0.5000
Co 0.0000 0.5000 0.0000
Co 0.5000 0.0000 0.0000
```

Density functional theory data (PBE) for an optimized crystal structure of Mn2TlSe. Values from VASP.

## Properties
**Theoretical density**: 8204 kg/m3
**Total moment**: 8.0 μB/f.u.
**Offset from the most stable computed form**: 223 meV per atom
**Raw formation energy**: 0.339 eV per atom

The structure in Quantum ESPRESSO input format:
```
&SYSTEM
  ibrav = 0, nat = 4, ntyp = 3
/
ATOMIC_SPECIES
Mn 54.94 Mn.upf
Tl 204.38 Tl.upf
Se 78.96 Se.upf
CELL_PARAMETERS angstrom
3.1560 -3.6249 0.0000
3.1560 3.6249 0.0000
-0.8135 0.0000 3.4785
ATOMIC_POSITIONS crystal
Mn 0.0000 0.5000 0.0000
Mn 0.5000 0.0000 0.0000
Tl 0.0000 0.0000 0.5000
Se 0.5000 0.5000 0.5000
```

Density functional theory data (PBE) for an optimized crystal structure of CuSbSe4. Values from VASP.

## Properties
**Theoretical density**: 5579 kg/m3
**Total moment**: 0.0 μB/f.u.
**Offset from the most stable computed form**: 0 meV per atom
**Raw formation energy**: -0.011 eV per atom

The structure in Quantum ESPRESSO input format:
```
&SYSTEM
  ibrav = 0, nat = 12, ntyp = 3
/
ATOMIC_SPECIES
Cu 63.55 Cu.upf
Sb 121.76 Sb.upf
Se 78.96 Se.upf
CELL_PARAMETERS angstrom
5.1475 0.0000 0.0000
0.0000 7.6130 0.0000
-0.0470 0.0000 7.6128
ATOMIC_POSITIONS crystal
Cu 0.0000 0.2503 0.2500
Cu 0.0000 0.7497 0.7500
Sb 0.5000 0.2493 0.7500
Sb 0.5000 0.7507 0.2500
Se 0.2095 0.0517 0.0518
Se 0.2101 0.4494 0.4494
Se 0.2101 0.5506 0.9494
Se 0.2095 0.9483 0.5518
Se 0.7905 0.0517 0.4482
Se 0.7899 0.4494 0.0506
Se 0.7899 0.5506 0.5506
Se 0.7905 0.9483 0.9482
```